# GGA-PBE CaMgSc3, optimized geometry
data_CaMgSc3
_chemical_formula_sum 'Ca1 Mg1 Sc3'
_space_group_name_H-M_alt 'P 1'
_space_group_IT_number 1
_space_group_name_Hall 'P 1'
_cell_length_a 5.253
_cell_length_b 5.253
_cell_length_c 5.253
_cell_angle_alpha 90.00
_cell_angle_beta 90.00
_cell_angle_gamma 90.00
loop_
_atom_site_label
_atom_site_type_symbol
_atom_site_fract_x
_atom_site_fract_y
_atom_site_fract_z
Ca1 Ca 0.000 0.000 0.000
Mg1 Mg 0.500 0.500 0.500
Sc1 Sc 0.000 0.000 0.500
Sc2 Sc 0.000 0.500 0.000
Sc3 Sc 0.500 0.000 0.000
# ΔH_f (0 K)	1052	meV per atom
# energy above the lowest structure with this stoichiometry	0.445	eV per atom
# energy	-17.3	eV/cell

# GGA-PBE CaMg6Sc, optimized geometry
data_CaMg6Sc
_chemical_formula_sum 'Ca1 Mg6 Sc1'
_space_group_name_H-M_alt 'P 1'
_space_group_IT_number 1
_space_group_name_Hall 'P 1'
_cell_length_a 4.630
_cell_length_b 4.630
_cell_length_c 9.316
_cell_angle_alpha 90.00
_cell_angle_beta 90.00
_cell_angle_gamma 90.00
loop_
_atom_site_label
_atom_site_type_symbol
_atom_site_fract_x
_atom_site_fract_y
_atom_site_fract_z
Ca1 Ca 0.000 0.000 0.000
Mg1 Mg 0.000 0.500 0.262
Mg2 Mg 0.000 0.500 0.738
Mg3 Mg 0.500 0.000 0.262
Mg4 Mg 0.500 0.000 0.738
Mg5 Mg 0.500 0.500 0.000
Mg6 Mg 0.500 0.500 0.500
Sc1 Sc 0.000 0.000 0.500
# ΔH_f (0 K)	-37	meV per atom
# energy above the lowest structure with this stoichiometry	0.000	eV per atom
# energy	-18.2	eV/cell

What is the energy in the second record? -18.2 eV/cell